## AsH2W (PBE-GGA)

Data for a relaxed AsH2W crystal.

Its total moment is 0.0 μB per formula unit. The offset from the most stable computed form comes out at 0.000 eV/atom. The calculation puts the density of states at the Fermi level at 0.232 states/eV per atom.

The structure belongs to space group Cm (No. 8); the cell edges are 5.828, 3.230 and 4.721 Å and the angles 90.00°, 112.74° and 90.00°. The inequivalent atoms are As at (0.000, 0.000, 0.000), H at (0.013, 0.500, 0.489), H at (0.250, 0.000, 0.586) and W at (0.295, 0.500, 0.397).